# TaNi2F, optimized geometry, DFT PBE with a Hubbard U
data_TaNi2F
_chemical_formula_sum 'Ta4 Ni8 F4'
_cell_length_a 6.573
_cell_length_b 6.573
_cell_length_c 4.603
_cell_angle_alpha 90.00
_cell_angle_beta 90.00
_cell_angle_gamma 90.00
_space_group_name_H-M_alt 'I -4 2 d'
_space_group_IT_number 122
_space_group_name_Hall 'I -4 2bw'
loop_
_atom_site_label
_atom_site_type_symbol
_atom_site_fract_x
_atom_site_fract_y
_atom_site_fract_z
_atom_site_occupancy
Ta1 Ta 0.000 0.000 0.000 1
Ni1 Ni 0.228 0.250 0.625 1
F1 F 0.000 0.000 0.500 1
# Energy in eV for the cell shown: -68.85
# Crystal system: tetragonal
# E above lowest polymorph in meV per atom: 0